Record 1
{"formula": "CsV3Ga", "functional": "PBE", "state": "relaxed", "lattice": [[4.737, 0.000, 0.000], [0.000, 4.737, 0.000], [0.000, 0.000, 4.737]], "species": ["Cs", "V", "V", "V", "Ga"], "fractional_positions": [[0.000, 0.000, 0.000], [0.000, 0.000, 0.500], [0.000, 0.500, 0.000], [0.500, 0.000, 0.000], [0.500, 0.500, 0.500]], "dft_energy_ev_per_atom": -3.759, "sg": "No. 221", "de_polymorph_kj_per_mol_fu": 378.9, "ef_mev_per_atom": 2488, "magnetic_moment_mub_per_cell": 0.00}

=====

Record 2
{"formula": "SmAg2Au", "functional": "PBE", "state": "relaxed", "lattice": [[4.362, 0.000, 0.000], [0.000, 7.912, 0.000], [-2.175, 0.000, 5.115]], "species": ["Sm", "Sm", "Ag", "Ag", "Ag", "Ag", "Au", "Au"], "fractional_positions": [[0.070, 0.250, 0.139], [0.930, 0.750, 0.861], [0.370, 0.056, 0.740], [0.370, 0.444, 0.740], [0.630, 0.556, 0.260], [0.630, 0.944, 0.260], [0.224, 0.750, 0.449], [0.776, 0.250, 0.551]], "dft_energy_ev_per_atom": -3.821, "sg": "No. 11", "de_polymorph_kj_per_mol_fu": 0.0, "ef_mev_per_atom": -397, "magnetic_moment_mub_per_cell": 0.00}